Pr3Ge3Pt2 after structural relaxation. Source: Alexandria via LeMat-Bulk, functional PBE.

```
data_Pr3Ge3Pt2
_cell_length_a 4.4523
_cell_length_b 5.8806
_cell_length_c 15.0061
_cell_angle_alpha 90.00
_cell_angle_beta 90.00
_cell_angle_gamma 112.24
_space_group_name_H-M_alt 'P 1'
_space_group_IT_number 1
loop_
_space_group_symop_operation_xyz
'x,y,z'
loop_
_atom_site_label
_atom_site_type_symbol
_atom_site_fract_x
_atom_site_fract_y
_atom_site_fract_z
Pr1 Pr 0.9019 0.8039 0.3917
Pr2 Pr 0.0981 0.1961 0.8917
Pr3 Pr 0.9019 0.8039 0.1083
Pr4 Pr 0.0981 0.1961 0.6083
Pr5 Pr 0.6231 0.2462 0.2500
Pr6 Pr 0.3769 0.7538 0.7500
Ge1 Ge 0.6170 0.2340 0.4651
Ge2 Ge 0.3830 0.7660 0.9651
Ge3 Ge 0.6170 0.2340 0.0349
Ge4 Ge 0.3830 0.7660 0.5349
Ge5 Ge 0.3275 0.6549 0.2500
Ge6 Ge 0.6725 0.3451 0.7500
Pt1 Pt 0.8122 0.6244 0.8953
Pt2 Pt 0.1878 0.3756 0.3953
Pt3 Pt 0.8122 0.6244 0.6047
Pt4 Pt 0.1878 0.3756 0.1047
```

Calculated values
- Energy: -96.54 eV per cell
- Spin magnetization: 0.000 μB/cell
- ΔH_f (0 K): -96.5 kJ per mole of atoms
- SG: Cmcm